Computed, not measured: crystalline Ni2AuO2 at its relaxed geometry at the GGA+U level of DFT.

Unit cell a=5.9536 b=5.9536 c=5.9536 alpha=143.76 beta=143.76 gamma=52.18
With the nearest neighbours (Å) after each atom.
Element x y z (fractional)
1 Ni 0.2160 0.2160 0.0000  4 O 1.89
2 Ni 0.7840 0.7840 0.0000  4 O 1.89
3 Au 0.5000 0.5000 0.0000  2 Ni 3.04, 8 O 3.25
4 O 0.2500 0.7500 0.5000  4 Ni 1.89
5 O 0.7500 0.2500 0.5000  4 Ni 1.89

## Properties
The value obtained for the relative energy among the computed polymorphs is 0.0 kJ per mole of atoms. For the total energy, the calculation gives -3.6310 eV/atom. As for the crystal system: tetragonal. The density of states at the Fermi level is 2.124 states/eV/f.u.

Computed, not measured: crystalline Ni3AuO at its relaxed geometry at the GGA+U level of DFT.

Unit cell a=3.9654 b=3.9654 c=3.9654 alpha=90.00 beta=90.00 gamma=90.00
With the nearest neighbours (Å) after each atom.
Element x y z (fractional)
1 Ni 0.0000 0.0000 0.5000  2 O 1.98
2 Ni 0.0000 0.5000 0.0000  2 O 1.98
3 Ni 0.5000 0.0000 0.0000  2 O 1.98
4 Au 0.5000 0.5000 0.5000  12 Ni 2.80
5 O 0.0000 0.0000 0.0000  6 Ni 1.98

## Properties
The value obtained for the relative energy among the computed polymorphs is 0.0 kJ per mole of atoms. For the total energy, the calculation gives -3.1431 eV/atom. As for the crystal system: cubic. The density of states at the Fermi level is 2.843 states/eV/f.u.

Computed, not measured: crystalline NiAu3O at its relaxed geometry at the GGA+U level of DFT.

Unit cell a=4.3990 b=4.3990 c=4.3990 alpha=90.00 beta=90.00 gamma=90.00
With the nearest neighbours (Å) after each atom.
Element x y z (fractional)
1 Ni 0.0000 0.0000 0.0000  12 Au 3.11
2 Au 0.0000 0.5000 0.5000  2 O 2.20
3 Au 0.5000 0.0000 0.5000  2 O 2.20
4 Au 0.5000 0.5000 0.0000  2 O 2.20
5 O 0.5000 0.5000 0.5000  6 Au 2.20

## Properties
The value obtained for the relative energy among the computed polymorphs is 0.0 kJ per mole of atoms. For the total energy, the calculation gives -2.5822 eV/atom. As for the crystal system: cubic. The density of states at the Fermi level is 1.623 states/eV/f.u.

Computed, not measured: crystalline Ni2AuO2 at its relaxed geometry at the GGA+U level of DFT.

Unit cell a=6.7329 b=6.7329 c=2.7929 alpha=90.00 beta=90.00 gamma=90.00
With the nearest neighbours (Å) after each atom.
Element x y z (fractional)
1 Ni 0.1743 0.3257 0.0000  2 O 2.03
2 Ni 0.3257 0.8257 0.0000  2 O 2.03
3 Ni 0.6743 0.1743 0.0000  2 O 2.03
4 Ni 0.8257 0.6743 0.0000  2 O 2.03
5 Au 0.0000 0.0000 0.0000  4 Ni 2.49
6 Au 0.5000 0.5000 0.0000  4 Ni 2.49
7 O 0.1710 0.6710 0.5000  2 Ni 2.03
8 O 0.3290 0.1710 0.5000  2 Ni 2.03
9 O 0.6710 0.8290 0.5000  2 Ni 2.03
10 O 0.8290 0.3290 0.5000  2 Ni 2.03

## Properties
The value obtained for the relative energy among the computed polymorphs is 12.8 kJ per mole of atoms. For the total energy, the calculation gives -3.4988 eV/atom. As for the crystal system: tetragonal. The density of states at the Fermi level is 1.053 states/eV/f.u.

Computed, not measured: crystalline NiAu2O at its relaxed geometry at the GGA+U level of DFT.

Unit cell a=5.4883 b=5.4883 c=5.4883 alpha=103.28 beta=103.28 gamma=122.73
With the nearest neighbours (Å) after each atom.
Element x y z (fractional)
1 Ni 0.0000 0.0000 0.0000  2 O 2.63, 4 Au 2.70
2 Ni 0.7500 0.2500 0.5000  2 O 2.63, 4 Au 2.70
3 Au 0.1663 0.6250 0.0413  2 O 2.31
4 Au 0.3750 0.4163 0.5413  2 O 2.31
5 Au 0.5837 0.1250 0.9587  2 O 2.31
6 Au 0.8750 0.8337 0.4587  2 O 2.31
7 O 0.2500 0.7500 0.5000  4 Au 2.31
8 O 0.5000 0.5000 0.0000  4 Au 2.31

## Properties
For the total energy, the calculation gives -3.0553 eV/atom. As for the crystal system: tetragonal. The density of states at the Fermi level is 1.459 states/eV/f.u.

Computed, not measured: crystalline Ni2AuO4 at its relaxed geometry at the GGA+U level of DFT.

Unit cell a=5.8248 b=5.8248 c=5.8248 alpha=112.68 beta=112.68 gamma=103.23
With the nearest neighbours (Å) after each atom.
Element x y z (fractional)
1 Ni 0.0000 0.0000 0.0000  6 O 2.04-2.06
2 Ni 0.5000 0.0000 0.0000  6 O 2.04-2.06
3 Ni 0.5000 0.0000 0.5000  6 O 2.04-2.06
4 Ni 0.5000 0.5000 0.5000  6 O 2.04-2.06
5 Au 0.1255 0.3755 0.7500  4 O 2.08
6 Au 0.8745 0.6245 0.2500  4 O 2.08
7 O 0.2215 0.1679 0.4464  3 Ni 2.04-2.06, 1 Au 2.08
8 O 0.2215 0.7751 0.0536  3 Ni 2.04-2.06, 1 Au 2.08
9 O 0.2751 0.7215 0.5536  3 Ni 2.04-2.06, 1 Au 2.08
10 O 0.3321 0.2785 0.0536  3 Ni 2.04-2.06, 1 Au 2.08
11 O 0.6679 0.7215 0.9464  3 Ni 2.04-2.06, 1 Au 2.08
12 O 0.7249 0.2785 0.4464  3 Ni 2.04-2.06, 1 Au 2.08
13 O 0.7785 0.2249 0.9464  3 Ni 2.04-2.06, 1 Au 2.08
14 O 0.7785 0.8321 0.5536  3 Ni 2.04-2.06, 1 Au 2.08

## Properties
For the total energy, the calculation gives -4.4826 eV/atom. As for the crystal system: orthorhombic. The density of states at the Fermi level is 2.390 states/eV/f.u.

Computed, not measured: crystalline Ni3AuO at its relaxed geometry at the GGA+U level of DFT.

Unit cell a=4.8023 b=4.8023 c=4.8023 alpha=90.00 beta=90.00 gamma=90.00
With the nearest neighbours (Å) after each atom.
Element x y z (fractional)
1 Ni 0.0000 0.0000 0.5000  2 Au 2.40
2 Ni 0.0000 0.5000 0.0000  2 Au 2.40
3 Ni 0.5000 0.0000 0.0000  2 Au 2.40
4 Au 0.0000 0.0000 0.0000  6 Ni 2.40
5 O 0.5000 0.5000 0.5000  12 Ni 3.40

## Properties
The value obtained for the relative energy among the computed polymorphs is 161.1 kJ per mole of atoms. For the total energy, the calculation gives -1.4730 eV/atom. As for the crystal system: cubic. The density of states at the Fermi level is 2.439 states/eV/f.u.

Computed, not measured: crystalline NiAu3O at its relaxed geometry at the GGA+U level of DFT.

Unit cell a=4.6902 b=4.6902 c=4.6902 alpha=90.00 beta=90.00 gamma=90.00
With the nearest neighbours (Å) after each atom.
Element x y z (fractional)
1 Ni 0.0000 0.0000 0.0000  6 Au 2.35
2 Au 0.0000 0.0000 0.5000  2 Ni 2.35
3 Au 0.0000 0.5000 0.0000  2 Ni 2.35
4 Au 0.5000 0.0000 0.0000  2 Ni 2.35
5 O 0.5000 0.5000 0.5000  12 Au 3.32

## Properties
The value obtained for the relative energy among the computed polymorphs is 59.3 kJ per mole of atoms. For the total energy, the calculation gives -1.9681 eV/atom. As for the crystal system: cubic. The density of states at the Fermi level is 7.738 states/eV/f.u.

Computed, not measured: crystalline PaNiAu2O8 at its relaxed geometry at the GGA+U level of DFT.

Unit cell a=6.0083 b=6.0083 c=6.0083 alpha=110.20 beta=110.20 gamma=108.03
With the nearest neighbours (Å) after each atom.
Element x y z (fractional)
1 Pa 0.0000 0.0000 0.0000  8 O 2.22-2.32
2 Ni 0.7500 0.2500 0.5000  8 O 2.18-2.30
3 Au 0.2500 0.7500 0.5000  4 O 2.00
4 Au 0.5000 0.5000 0.0000  4 O 2.02
5 O 0.0254 0.3479 0.3225  1 Au 2.00, 1 Pa 2.22
6 O 0.0254 0.7029 0.6775  1 Au 2.00, 1 Pa 2.22
7 O 0.0924 0.2759 0.8166  1 Au 2.02, 1 Ni 2.18
8 O 0.2971 0.9746 0.3225  1 Au 2.00, 1 Pa 2.22
9 O 0.4593 0.2759 0.1834  1 Au 2.02, 1 Ni 2.18
10 O 0.6521 0.9746 0.6775  1 Au 2.00, 1 Pa 2.22
11 O 0.7241 0.5407 0.8166  1 Au 2.02, 1 Ni 2.18
12 O 0.7241 0.9076 0.1834  1 Au 2.02, 1 Ni 2.18

## Properties
For the total energy, the calculation gives -5.6112 eV/atom. As for the crystal system: tetragonal. The density of states at the Fermi level is 6.348 states/eV/f.u.

Computed, not measured: crystalline PaNiAuO6 at its relaxed geometry at the GGA+U level of DFT.

Unit cell a=5.2390 b=5.2390 c=4.7590 alpha=90.00 beta=90.00 gamma=120.00
With the nearest neighbours (Å) after each atom.
Element x y z (fractional)
1 Pa 0.0000 0.0000 0.0000  6 O 2.20
2 Ni 0.3333 0.6667 0.5000  6 O 2.07
3 Au 0.6667 0.3333 0.5000  6 O 2.03
4 O 0.3459 0.0056 0.7351  1 Au 2.03, 1 Ni 2.07, 1 Pa 2.20
5 O 0.3459 0.3403 0.2649  1 Au 2.03, 1 Ni 2.07, 1 Pa 2.20
6 O 0.6597 0.0056 0.2649  1 Au 2.03, 1 Ni 2.07, 1 Pa 2.20
7 O 0.6597 0.6541 0.7351  1 Au 2.03, 1 Ni 2.07, 1 Pa 2.20
8 O 0.9944 0.3403 0.7351  1 Au 2.03, 1 Ni 2.07, 1 Pa 2.20
9 O 0.9944 0.6541 0.2649  1 Au 2.03, 1 Ni 2.07, 1 Pa 2.20

## Properties
For the total energy, the calculation gives -6.5418 eV/atom. As for the crystal system: trigonal.

Values of magnetization, in order: 0.00, 2.55, 0.00, 6.77, 1.87, 5.95, 3.38, 1.02, 1.73, 1.98, all in Bohr magnetons per cell.